! InFeN2F, optimized geometry, DFT PBE with a Hubbard U; values from VASP
&SYSTEM
  ibrav = 0, nat = 5, ntyp = 4
/
ATOMIC_SPECIES
In 114.82 In.upf
Fe 55.84 Fe.upf
N 14.01 N.upf
F 19.00 F.upf
ATOMIC_POSITIONS crystal
In 0.000 0.000 0.000
Fe 0.500 0.500 0.500
N 0.000 0.500 0.500
N 0.500 0.000 0.500
F 0.500 0.500 0.000
CELL_PARAMETERS angstrom
3.936 0.000 0.000
0.000 3.936 0.000
0.000 0.000 3.918
! symmetry	P4/mmm, No. 123
! DOS at the Fermi energy	1.30	states/eV/f.u.
! E above lowest polymorph	0.0	meV per atom
! uncorrected energy	-25.8	eV for the cell shown
! magnetization	0.83	μB/atom